Record 1
{"formula": "Gd2ZnFe", "functional": "PBE", "state": "relaxed", "lattice_angstrom": [[3.484, 0.000, 0.000], [0.000, 3.484, 0.000], [0.000, 0.000, 7.151]], "species": ["Fe", "Gd", "Gd", "Zn"], "fractional_positions": [[0.500, 0.500, 0.000], [0.000, 0.000, 0.770], [0.000, 0.000, 0.230], [0.500, 0.500, 0.500]], "de_polymorph_mev_per_atom": 0, "m_tot_mub_per_atom": 3.287, "final_energy_ev_per_cell": -38.31, "space_group": "P4/mmm, No. 123"}

Record 2
{"formula": "Gd2ZnFe", "functional": "PBE", "state": "relaxed", "lattice_angstrom": [[-0.934, 4.870, 0.085], [-4.359, 1.660, 1.685], [-0.231, 2.406, 4.331]], "species": ["Gd", "Gd", "Fe", "Zn"], "fractional_positions": [[0.250, 0.250, 0.250], [0.750, 0.750, 0.750], [0.500, 0.500, 0.500], [0.000, 0.000, 0.000]], "de_polymorph_mev_per_atom": 30, "m_tot_mub_per_atom": 3.223, "final_energy_ev_per_cell": -38.19, "space_group": "Fm-3m, No. 225"}